La2FeBiO6 | Alexandria via LeMat-Bulk | PBE with a Hubbard U | optimized geometry; total magnetization = 3.00 μB per formula unit; final energy = -7.048 eV/atom
1.0
-2.9365 -0.0753 4.4274
-1.1549 -5.3082 -0.8563
4.4353 -1.4356 2.9173
La Fe Bi O
2 1 1 6
Direct
0.0023 0.5000 0.0000
0.0023 0.0000 0.5000
0.6025 0.0000 0.0000
0.5534 0.5000 0.5000
0.7334 0.7635 0.2365
0.1245 0.5000 0.5000
0.2280 0.0000 0.0000
0.7334 0.2365 0.2365
0.7334 0.2365 0.7635
0.7334 0.7635 0.7635